one | DFT (PBE) results for InIrSCl2 after structural relaxation.

Cell lengths 4.9870, 4.9870, 5.2166 Å; angles 90.00, 90.00, 90.00 degrees
With the nearest neighbours (Å) after each atom.
Fractional positions:
In 0.0000 0.0000 0.0000  4 Cl 2.49, 2 S 2.61
Ir 0.5000 0.5000 0.5000  4 S 3.53, 8 Cl 3.61
S 0.0000 0.0000 0.5000  2 In 2.61
Cl 0.0000 0.5000 0.0000  2 In 2.49
Cl 0.5000 0.0000 0.0000  2 In 2.49

Computed properties:
The calculation puts the total magnetization at 2.4 μB per cell.



two | DFT (PBE) results for InIrSCl2 after structural relaxation.

Cell lengths 5.1718, 5.1718, 4.4419 Å; angles 90.00, 90.00, 90.00 degrees
With the nearest neighbours (Å) after each atom.
Fractional positions:
In 0.0000 0.0000 0.0000  8 Cl 3.41, 4 S 3.66
Ir 0.5000 0.5000 0.5000  2 S 2.22
S 0.5000 0.5000 0.0000  2 Ir 2.22
Cl 0.0000 0.5000 0.5000  2 Ir 2.59
Cl 0.5000 0.0000 0.5000  2 Ir 2.59

Computed properties:
The calculation puts the total magnetization at 0.0 μB per cell.



Which structure is most stable, and how do the rest compare? From most to least stable: two, one.



one | DFT (PBE) results for InTeIrCl after structural relaxation.

Cell lengths 3.7020, 3.7020, 9.1506 Å; angles 107.10, 107.10, 59.99 degrees
With the nearest neighbours (Å) after each atom.
Fractional positions:
In 0.0000 0.0000 0.0000  3 Cl 2.80-2.83, 3 Ir 2.85
Te 0.1465 0.1465 0.6132  3 Ir 2.58
Ir 0.5613 0.5613 0.7812  3 Te 2.58, 3 In 2.85
Cl 0.4392 0.4392 0.2122  3 In 2.80-2.83

Computed properties:
The calculation puts the total magnetization at 0.0 μB per cell.



two | DFT (PBE) results for InTeIrCl after structural relaxation.

Cell lengths 3.3864, 3.5027, 9.0304 Å; angles 79.18, 80.24, 90.00 degrees
With the nearest neighbours (Å) after each atom.
Fractional positions:
In 0.0000 0.0000 0.0000  2 Cl 2.58, 2 Ir 2.72-2.73
Te 0.8257 0.3140 0.3852  4 Ir 2.73
Ir 0.3895 0.8822 0.2444  2 In 2.72-2.73, 4 Te 2.73
Cl 0.0967 0.6048 0.7834  2 In 2.58

Computed properties:
The calculation puts the total magnetization at 0.0 μB per cell.



three | DFT (PBE) results for InTeIrCl after structural relaxation.

Cell lengths 8.7185, 8.7185, 8.7185 Å; angles 24.59, 24.59, 24.59 degrees
With the nearest neighbours (Å) after each atom.
Fractional positions:
In 0.0000 0.0000 0.0000  1 Cl 2.41
Te 0.8697 0.8697 0.8697  3 Ir 2.62
Ir 0.5955 0.5955 0.5955  3 Te 2.62, 3 In 2.80
Cl 0.0950 0.0950 0.0950  1 In 2.41

Computed properties:
The calculation puts the total magnetization at 0.0 μB per cell.



Which structure is most stable, and how do the rest compare? From most to least stable: one, three, two.



one | DFT (PBE) results for KIn2Cl after structural relaxation.

Cell lengths 8.4715, 8.4715, 8.4715 Å; angles 151.37, 150.33, 41.71 degrees
With the nearest neighbours (Å) after each atom.
Fractional positions:
K 0.0000 0.0000 0.0000  4 Cl 3.02
In 0.2691 0.7691 0.5000  4 In 3.08
In 0.7309 0.2309 0.5000  4 In 3.08
Cl 0.5000 0.5000 0.0000  4 K 3.02

Computed properties:
The calculation puts the total magnetization at 0.0 μB per cell.



two | DFT (PBE) results for KIn2Cl after structural relaxation.

Cell lengths 5.7610, 5.7610, 5.7610 Å; angles 60.00, 60.00, 60.00 degrees
With the nearest neighbours (Å) after each atom.
Fractional positions:
K 0.0000 0.0000 0.0000  8 In 3.53
In 0.2500 0.2500 0.2500  4 Cl 3.53, 4 K 3.53
In 0.7500 0.7500 0.7500  4 Cl 3.53, 4 K 3.53
Cl 0.5000 0.5000 0.5000  8 In 3.53

Computed properties:
The calculation puts the total magnetization at 0.0 μB per cell.



three | DFT (PBE) results for KIn2Cl after structural relaxation.

Cell lengths 5.1707, 5.1707, 6.8751 Å; angles 111.59, 111.59, 59.86 degrees
With the nearest neighbours (Å) after each atom.
Fractional positions:
K 0.0000 0.0000 0.0000  3 Cl 3.06
In 0.4697 0.4697 0.4213  1 Cl 2.94, 3 In 2.99
In 0.7921 0.7921 0.3897  3 In 2.99, 1 Cl 3.08
Cl 0.6326 0.6326 0.8941  2 In 2.94-3.08, 3 K 3.06

Computed properties:
The calculation puts the total magnetization at 0.0 μB per cell.



four | DFT (PBE) results for KIn2Cl after structural relaxation.

Cell lengths 3.9535, 3.9594, 8.9684 Å; angles 90.00, 102.70, 90.00 degrees
With the nearest neighbours (Å) after each atom.
Fractional positions:
K 0.0000 0.0000 0.0000  4 Cl 3.03
In 0.3141 0.0000 0.6225  4 In 3.16
In 0.7312 0.5000 0.4553  1 Cl 2.81
Cl 0.5667 0.5000 0.1337  1 In 2.81, 4 K 3.03

Computed properties:
The calculation puts the total magnetization at 0.0 μB per cell.



Which structure is most stable, and how do the rest compare? From most to least stable: four, one, three, two.



one | DFT (PBE) results for KIn2Cl after structural relaxation.

Cell lengths 6.2367, 6.2367, 6.2367 Å; angles 137.86, 127.46, 69.53 degrees
With the nearest neighbours (Å) after each atom.
Fractional positions:
K 0.0000 0.0000 0.0000  2 Cl 3.12
In 0.4325 0.4325 0.0000  2 Cl 3.19, 2 In 3.51
In 0.7204 0.2204 0.5000  4 In 3.51-3.71, 4 Cl 3.56, 4 K 3.57-3.64
Cl 0.2115 0.7115 0.5000  2 K 3.12, 2 In 3.19

Computed properties:
The calculation puts the total magnetization at 0.0 μB per cell.



two | DFT (PBE) results for KIn2Cl after structural relaxation.

Cell lengths 9.2283, 9.2283, 9.2283 Å; angles 26.41, 26.41, 26.41 degrees
With the nearest neighbours (Å) after each atom.
Fractional positions:
K 0.0000 0.0000 0.0000  3 Cl 2.99
In 0.2218 0.2218 0.2218  3 In 3.05
In 0.4863 0.4863 0.4863  3 In 3.05, 3 Cl 3.38
Cl 0.7316 0.7316 0.7316  3 K 2.99

Computed properties:
The calculation puts the total magnetization at 0.0 μB per cell.



three | DFT (PBE) results for KIn2Cl after structural relaxation.

Cell lengths 6.7178, 6.7178, 3.5158 Å; angles 90.00, 90.00, 126.38 degrees
With the nearest neighbours (Å) after each atom.
Fractional positions:
K 0.0000 0.0000 0.0000  2 Cl 3.03
In 0.0000 0.5000 0.5000  2 In 3.03
In 0.5000 0.0000 0.5000  2 In 3.03
Cl 0.5000 0.5000 0.0000  2 K 3.03

Computed properties:
The calculation puts the total magnetization at 0.0 μB per cell.



Which structure is most stable, and how do the rest compare? From most to least stable: two, three, one.